Below is a geometry-optimized VPbI4 structure, with properties calculated at the GGA-PBE level.

## Properties
**Uncorrected energy**: -3.6870 eV per atom

a b c (Å): 16.3234 4.3146 7.8204
angles (deg): 90.00 113.24 90.00
With the nearest neighbours (Å) after each atom.
Space group C2/m (No. 12)
Asymmetric unit:
1 V 0.0000 0.0000 0.0000 x2  6 I 2.87-2.90
2 Pb 0.0000 0.5000 0.5000 x2  6 I 3.23-3.25
3 I 0.1067 0.5000 0.9493 x4  2 V 2.90
4 I 0.1175 0.0000 0.3866 x4  1 V 2.87

=====

Below is a geometry-optimized PtC2 structure, with properties calculated at the GGA-PBE level.

## Properties
**Uncorrected energy**: -6.8641 eV per atom
**N(E_F)**: 2.52 states/eV/cell

a b c (Å): 7.5099 3.0417 6.4768
angles (deg): 90.00 100.53 90.00
With the nearest neighbours (Å) after each atom.
Space group Cm (No. 8)
Asymmetric unit:
1 Pt 0.0000 0.0000 0.0000 x2  2 C 1.96-2.17
2 Pt 0.1337 0.5000 0.4959 x2  3 C 1.96-2.04
3 C 0.0707 0.0000 0.3063 x2  3 Pt 1.96
4 C 0.2770 0.0000 0.9446 x2  1 C 1.45
5 C 0.2940 0.0000 0.7245 x2  2 C 1.37-1.45
6 C 0.4764 0.0000 0.7224 x2  1 C 1.37

=====

Below is a geometry-optimized La3Y2Ho6Pu structure, with properties calculated at the GGA-PBE level.

## Properties
**Uncorrected energy**: -5.7432 eV per atom
**N(E_F)**: 44.05 states/eV/cell

a b c (Å): 6.1993 10.7433 11.7731
angles (deg): 90.00 100.13 90.00
With the nearest neighbours (Å) after each atom.
Space group C2/m (No. 12)
Asymmetric unit:
1 La 0.0000 0.0000 0.0000 x2  6 La 3.57-3.58, 6 Ho 3.61-3.63
2 La 0.0000 0.3326 0.0000 x4  6 La 3.57-3.60, 6 Ho 3.61-3.64
3 Y 0.0000 0.1666 0.5000 x4  6 Ho 3.51, 3 Pu 3.58, 3 Y 3.58
4 Ho 0.2451 0.3358 0.7434 x8  1 Pu 3.48, 2 Y 3.51, 6 Ho 3.53-3.61, 3 La 3.61-3.64
5 Ho 0.2478 0.5000 0.2562 x4  1 Pu 3.49, 2 Y 3.51, 6 Ho 3.53-3.61, 3 La 3.61-3.63
6 Pu 0.0000 0.5000 0.5000 x2  6 Ho 3.48-3.49, 6 Y 3.58

=====

Below is a geometry-optimized Ca5MnBr12 structure, with properties calculated at the GGA-PBE level.

## Properties
**Uncorrected energy**: -4.0070 eV per atom
**N(E_F)**: 0.00 states/eV/cell

a b c (Å): 7.2990 12.6623 14.0872
angles (deg): 90.00 90.03 90.00
With the nearest neighbours (Å) after each atom.
Space group C2/m (No. 12)
Asymmetric unit:
1 Ca 0.0000 0.0000 0.0000 x2  6 Br 2.91
2 Ca 0.0000 0.1667 0.5000 x4  6 Br 2.94
3 Ca 0.0000 0.3334 0.0000 x4  6 Br 2.91
4 Mn 0.0000 0.5000 0.5000 x2  6 Br 2.74
5 Br 0.1562 0.3438 0.6076 x8  1 Mn 2.74, 2 Ca 2.94
6 Br 0.1663 0.1668 0.8867 x8  3 Ca 2.91
7 Br 0.1666 0.5000 0.8868 x4  3 Ca 2.91
8 Br 0.1879 0.0000 0.6075 x4  1 Mn 2.74, 2 Ca 2.94

=====

Below is a geometry-optimized PuMgTl2Pb structure, with properties calculated at the GGA-PBE level.

## Properties
**Uncorrected energy**: -4.6926 eV per atom
**N(E_F)**: 57.95 states/eV/cell

a b c (Å): 5.9615 16.8500 5.9823
angles (deg): 90.00 90.00 90.00
With the nearest neighbours (Å) after each atom.
Space group Cmcm (No. 63)
Asymmetric unit:
1 Pu 0.0000 0.1600 0.2500 x4  1 Mg 3.25, 4 Pb 3.31-3.38, 4 Tl 3.43
2 Mg 0.0000 0.3531 0.2500 x4  4 Tl 3.25, 1 Pu 3.25, 4 Pb 3.41-3.50
3 Tl 0.2483 0.5000 0.0000 x8  4 Tl 2.96-3.00, 2 Mg 3.25
4 Pb 0.0000 0.2448 0.7500 x4  4 Pu 3.31-3.38, 4 Mg 3.41-3.50

=====

Below is a geometry-optimized La2CrCdSb structure, with properties calculated at the GGA-PBE level.

## Properties
**Uncorrected energy**: -5.0001 eV per atom
**N(E_F)**: 5.38 states/eV/cell

a b c (Å): 5.3322 5.3322 5.0152
angles (deg): 90.00 90.00 90.00
With the nearest neighbours (Å) after each atom.
Space group P4/mmm (No. 123)
Asymmetric unit:
1 La 0.0000 0.5000 0.0000 x2  2 Cr 2.67
2 Cr 0.0000 0.0000 0.0000 x1  2 Sb 2.51, 4 La 2.67
3 Cd 0.5000 0.5000 0.5000 x1  8 La 3.66, 4 Sb 3.77
4 Sb 0.0000 0.0000 0.5000 x1  2 Cr 2.51

=====

Below is a geometry-optimized Sr2CuSe structure, with properties calculated at the GGA-PBE level.

## Properties
**Uncorrected energy**: -3.4079 eV per atom
**N(E_F)**: 5.15 states/eV/cell

a b c (Å): 4.3656 4.3656 12.7071
angles (deg): 90.00 90.00 90.00
With the nearest neighbours (Å) after each atom.
Space group I-4m2 (No. 119)
Asymmetric unit:
1 Sr 0.0000 0.0000 0.0000 x2  4 Se 3.09
2 Sr 0.0000 0.5000 0.2500 x2  4 Cu 3.09
3 Cu 0.0000 0.5000 0.7500 x2  4 Sr 3.09
4 Se 0.0000 0.0000 0.5000 x2  4 Sr 3.09

=====

Below is a geometry-optimized KNiRu structure, with properties calculated at the GGA-PBE level.

## Properties
**Uncorrected energy**: -3.8502 eV per atom
**N(E_F)**: 18.08 states/eV/cell

a b c (Å): 6.3674 6.3674 6.3674
angles (deg): 90.00 90.00 90.00
With the nearest neighbours (Å) after each atom.
Space group F-43m (No. 216)
Asymmetric unit:
1 K 0.0000 0.0000 0.0000 x4  4 Ni 2.76
2 Ni 0.2500 0.2500 0.2500 x4  4 K 2.76, 4 Ru 2.76
3 Ru 0.0000 0.0000 0.5000 x4  4 Ni 2.76

=====

Below is a geometry-optimized NbZn2MoIr structure, with properties calculated at the GGA-PBE level.

## Properties
**Uncorrected energy**: -5.3955 eV per atom
**N(E_F)**: 4.36 states/eV/cell

a b c (Å): 4.5917 4.5917 4.8084
angles (deg): 90.00 90.00 90.00
With the nearest neighbours (Å) after each atom.
Space group P4/mmm (No. 123)
Asymmetric unit:
1 Nb 0.0000 0.0000 0.0000 x1  4 Mo 3.25, 8 Zn 3.32
2 Zn 0.0000 0.5000 0.5000 x2  2 Ir 2.30
3 Mo 0.5000 0.5000 0.0000 x1  2 Ir 2.40
4 Ir 0.5000 0.5000 0.5000 x1  4 Zn 2.30, 2 Mo 2.40

=====

Below is a geometry-optimized Dy2Ho7Er4 structure, with properties calculated at the GGA-PBE level.

## Properties
**Uncorrected energy**: -4.5598 eV per atom
**N(E_F)**: 15.58 states/eV/cell

a b c (Å): 6.0812 7.8304 9.3023
angles (deg): 65.13 89.75 82.51
With the nearest neighbours (Å) after each atom.
Space group P-1 (No. 2)
Asymmetric unit:
1 Dy 0.1538 0.0769 0.1156 x2  7 Ho 3.50-3.52, 4 Er 3.51-3.52, 1 Dy 3.52
2 Ho 0.0000 0.0000 0.5000 x1  4 Ho 3.50-3.51, 6 Er 3.51, 2 Dy 3.51
3 Ho 0.0766 0.5386 0.8074 x2  2 Dy 3.50-3.52, 3 Er 3.50-3.51, 7 Ho 3.51-3.52
4 Ho 0.2309 0.6154 0.4231 x2  5 Er 3.50-3.51, 6 Ho 3.50-3.51, 1 Dy 3.51
5 Ho 0.3849 0.6921 0.0385 x2  5 Ho 3.50-3.52, 3 Dy 3.50-3.52, 4 Er 3.51-3.52
6 Er 0.3077 0.1543 0.7301 x2  2 Er 3.50-3.51, 7 Ho 3.50-3.52, 3 Dy 3.51-3.52
7 Er 0.4617 0.2306 0.3464 x2  8 Ho 3.50-3.51, 3 Er 3.50-3.51, 1 Dy 3.52

=====

Below is a geometry-optimized Pa2CdF8 structure, with properties calculated at the GGA-PBE level.

## Properties
**Uncorrected energy**: -6.4798 eV per atom
**N(E_F)**: 5.76 states/eV/cell

a b c (Å): 11.7265 7.1588 4.6566
angles (deg): 90.00 90.03 90.00
With the nearest neighbours (Å) after each atom.
Space group C2/m (No. 12)
Asymmetric unit:
1 Pa 0.1713 0.0000 0.0048 x4  8 F 2.23-2.48
2 Cd 0.0000 0.5000 0.5000 x2  10 F 3.22-3.42
3 F 0.9996 0.0000 0.2469 x4  2 F 2.30-2.36, 2 Pa 2.31-2.32
4 F 0.1522 0.3096 0.0032 x8  2 Pa 2.23-2.48, 1 F 2.45
5 F 0.2088 0.0000 0.5009 x4  2 Pa 2.35-2.39

=====

Below is a geometry-optimized ScZnGa2 structure, with properties calculated at the GGA-PBE level.

## Properties
**Uncorrected energy**: -3.5074 eV per atom
**N(E_F)**: 8.69 states/eV/cell

a b c (Å): 4.0491 4.0491 19.1137
angles (deg): 90.00 90.00 90.00
With the nearest neighbours (Å) after each atom.
Space group I-42d (No. 122)
Asymmetric unit:
1 Sc 0.0000 0.0000 0.0000 x4  4 Ga 2.80, 4 Zn 2.86
2 Zn 0.0000 0.0000 0.5000 x4  4 Ga 2.77, 4 Sc 2.86
3 Ga 0.2402 0.2500 0.6250 x8  2 Zn 2.77, 2 Sc 2.80, 4 Ga 2.81-2.92

=====

Below is a geometry-optimized YAuOF2 structure, with properties calculated at the GGA-PBE level.

## Properties
**Uncorrected energy**: -5.9305 eV per atom
**N(E_F)**: 0.47 states/eV/cell

a b c (Å): 4.3497 4.3497 4.5140
angles (deg): 90.00 90.00 90.00
With the nearest neighbours (Å) after each atom.
Space group P4/mmm (No. 123)
Asymmetric unit:
1 Y 0.0000 0.0000 0.0000 x1  4 F 2.17, 2 O 2.26
2 Au 0.5000 0.5000 0.5000 x1  4 O 3.08, 8 F 3.13
3 O 0.0000 0.0000 0.5000 x1  2 Y 2.26
4 F 0.0000 0.5000 0.0000 x2  2 Y 2.17

=====

Below is a geometry-optimized ZnBiSe3 structure, with properties calculated at the GGA-PBE level.

## Properties
**Uncorrected energy**: -3.4184 eV per atom
**N(E_F)**: 9.05 states/eV/cell

a b c (Å): 8.0079 11.0078 6.6757
angles (deg): 90.00 90.00 90.00
With the nearest neighbours (Å) after each atom.
Space group Pnma (No. 62)
Asymmetric unit:
1 Zn 0.1638 0.2500 0.0626 x4  4 Se 2.48-2.60
2 Bi 0.0000 0.0000 0.5000 x4  6 Se 2.90-3.02
3 Se 0.0179 0.7500 0.6364 x4  2 Zn 2.48-2.60
4 Se 0.1437 0.0406 0.9134 x8  1 Zn 2.52, 1 Se 2.73

=====

Below is a geometry-optimized ZnNiPb3 structure, with properties calculated at the GGA-PBE level.

## Properties
**Uncorrected energy**: -3.3862 eV per atom
**N(E_F)**: 2.48 states/eV/cell

a b c (Å): 5.1625 5.1625 5.1625
angles (deg): 90.00 90.00 90.00
With the nearest neighbours (Å) after each atom.
Space group Pm-3m (No. 221)
Asymmetric unit:
1 Zn 0.0000 0.0000 0.0000 x1  12 Pb 3.65
2 Ni 0.5000 0.5000 0.5000 x1  6 Pb 2.58
3 Pb 0.0000 0.5000 0.5000 x3  2 Ni 2.58

=====

Below is a geometry-optimized SrPRuAu structure, with properties calculated at the GGA-PBE level.

## Properties
**Uncorrected energy**: -5.2832 eV per atom
**N(E_F)**: 10.13 states/eV/cell

a b c (Å): 3.7328 3.7328 21.2827
angles (deg): 90.00 90.00 120.00
With the nearest neighbours (Å) after each atom.
Space group R3m (No. 160, hexagonal axes)
Asymmetric unit:
1 Sr 0.0000 0.0000 0.0000 x3  3 P 2.98, 3 Au 3.15
2 P 0.0000 0.0000 0.4301 x3  3 Ru 2.33
3 Ru 0.0000 0.0000 0.8045 x3  3 P 2.33
4 Au 0.0000 0.0000 0.5590 x3  1 P 2.74, 3 Ru 2.85

=====

Below is a geometry-optimized PuTc2Sb structure, with properties calculated at the GGA-PBE level.

## Properties
**Uncorrected energy**: -9.8220 eV per atom
**N(E_F)**: 6.79 states/eV/cell

a b c (Å): 4.5344 4.5344 3.5339
angles (deg): 90.00 90.00 90.00
With the nearest neighbours (Å) after each atom.
Space group P4/mmm (No. 123)
Asymmetric unit:
1 Pu 0.0000 0.0000 0.0000 x1  8 Tc 2.87, 4 Sb 3.21
2 Tc 0.0000 0.5000 0.5000 x2  4 Sb 2.87, 4 Pu 2.87, 4 Tc 3.21
3 Sb 0.5000 0.5000 0.0000 x1  8 Tc 2.87, 4 Pu 3.21

=====

Below is a geometry-optimized TiCoSeN2 structure, with properties calculated at the GGA-PBE level.

## Properties
**Uncorrected energy**: -6.4510 eV per atom
**N(E_F)**: 8.75 states/eV/cell

a b c (Å): 3.7963 3.7963 5.5327
angles (deg): 90.00 90.00 90.00
With the nearest neighbours (Å) after each atom.
Space group P4/mmm (No. 123)
Asymmetric unit:
1 Ti 0.0000 0.0000 0.0000 x1  4 N 1.90
2 Co 0.5000 0.5000 0.5000 x1  4 Se 2.68
3 Se 0.0000 0.0000 0.5000 x1  4 Co 2.68, 2 Ti 2.77
4 N 0.0000 0.5000 0.0000 x2  2 Ti 1.90

=====

Below is a geometry-optimized Sn2HgAu2 structure, with properties calculated at the GGA-PBE level.

## Properties
**Uncorrected energy**: -3.0165 eV per atom
**N(E_F)**: 4.85 states/eV/cell

a b c (Å): 7.7819 7.7819 3.8615
angles (deg): 90.00 90.00 90.00
With the nearest neighbours (Å) after each atom.
Space group P4/mbm (No. 127)
Asymmetric unit:
1 Sn 0.1666 0.3334 0.0000 x4  6 Au 2.93-3.04
2 Hg 0.0000 0.0000 0.5000 x2  4 Au 3.03
3 Au 0.1336 0.6336 0.5000 x4  6 Sn 2.93-3.04, 1 Au 2.94, 2 Hg 3.03

=====

Below is a geometry-optimized Y2AgAu structure, with properties calculated at the GGA-PBE level.

## Properties
**Uncorrected energy**: -4.9558 eV per atom
**N(E_F)**: 50.77 states/eV/cell

a b c (Å): 7.7488 7.7488 7.3597
angles (deg): 90.00 90.00 90.00
With the nearest neighbours (Å) after each atom.
Space group I-42d (No. 122)
Asymmetric unit:
1 Y 0.2413 0.2500 0.1250 x8  2 Au 2.85, 2 Ag 2.94
2 Ag 0.0000 0.0000 0.5000 x4  4 Y 2.94
3 Au 0.0000 0.0000 0.0000 x4  4 Y 2.85